Material: Zn2FeTe
Method: DFT, PBEsol
State: relaxed

```
4
Lattice="-0.6169 -3.3705 -1.0076 3.3903 -0.3814 -0.7999 1.3117 -0.0296 5.5737" Properties=species:S:1:pos:R:3 pbc="T T T"
Zn 1.5151 -2.3773 -0.1205
Te 2.3389 -1.5614 2.9824
Fe 0.1538 -2.7481 1.9622
Zn 0.1162 -0.4800 0.7215
```

Summary:
Energy (eV for the cell shown): -14.9
Symmetry: Pm, No. 6